# 1
Density functional theory data (PBEsol) for ZrNiIN2 after structural relaxation.

Cell: 4.030 4.030 6.044 Å, 90.00 90.00 90.00°
Space group P4/mmm (No. 123)
Symmetry-distinct sites (fractional):
Zr (0.000, 0.000, 0.000) (multiplicity 1)
Ni (0.500, 0.500, 0.500) (multiplicity 1)
I (0.000, 0.000, 0.500) (multiplicity 1)
N (0.000, 0.500, 0.000) (multiplicity 2)

Output
Spin magnetization in μB/f.u.: 1.32
Formation energy from raw total energies in eV/atom: 0.6446
N(E_F) in states/eV/f.u.: 4.8

---

# 2
Density functional theory data (PBEsol) for AgHg2Rh after structural relaxation.

Cell: 8.940 3.068 5.280 Å, 90.00 101.28 90.00°
Space group C2/m (No. 12)
Symmetry-distinct sites (fractional):
Ag (0.000, 0.000, 0.000) (multiplicity 2)
Hg (0.245, 0.000, 0.741) (multiplicity 4)
Rh (0.000, 0.500, 0.500) (multiplicity 2)

Output
Spin magnetization in μB/f.u.: 0.00
N(E_F) in states/eV/f.u.: 2.2
Energy of formation in eV/atom: 0.14

---

# 3
Density functional theory data (PBEsol) for LaCuRe after structural relaxation.

Cell: 4.2151 4.2151 4.0070 Å, 90.00 90.00 120.00°
Space group P-6m2 (No. 187)
Symmetry-distinct sites (fractional):
La (0.0000, 0.0000, 0.0000) (multiplicity 1)
Cu (0.3333, 0.6667, 0.5000) (multiplicity 1)
Re (0.6667, 0.3333, 0.5000) (multiplicity 1)

Output
Spin magnetization in μB/f.u.: 0.00
N(E_F) in states/eV/f.u.: 3.9
Energy of formation in eV/atom: 0.51

---

# 4
Density functional theory data (PBEsol) for Ba3Mg after structural relaxation.

Cell: 8.804 8.824 4.817 Å, 90.00 90.00 90.00°
Space group Cmmm (No. 65)
Symmetry-distinct sites (fractional):
Ba (0.000, 0.000, 0.000) (multiplicity 2)
Ba (0.250, 0.250, 0.500) (multiplicity 4)
Mg (0.000, 0.500, 0.000) (multiplicity 2)

Output
Spin magnetization in μB/f.u.: 0.00
N(E_F) in states/eV/f.u.: 4.8
Energy of formation in eV/atom: 0.04

---

# 5
Density functional theory data (PBEsol) for BaHfTaB2 after structural relaxation.

Cell: 4.386 4.386 5.337 Å, 90.00 90.00 90.00°
Space group P4/mmm (No. 123)
Symmetry-distinct sites (fractional):
Ba (0.000, 0.000, 0.000) (multiplicity 1)
Hf (0.500, 0.500, 0.000) (multiplicity 1)
Ta (0.000, 0.000, 0.500) (multiplicity 1)
B (0.000, 0.500, 0.500) (multiplicity 2)

Output
Spin magnetization in μB/f.u.: 0.00
N(E_F) in states/eV/f.u.: 4.4
Energy of formation in eV/atom: 1.75

---

# 6
Density functional theory data (PBEsol) for ZnB2I after structural relaxation.

Cell: 6.106 6.106 6.106 Å, 90.00 90.00 90.00°
Space group Fm-3m (No. 225)
Symmetry-distinct sites (fractional):
Zn (0.000, 0.000, 0.000) (multiplicity 4)
B (0.250, 0.250, 0.250) (multiplicity 8)
I (0.000, 0.000, 0.500) (multiplicity 4)

Output
Spin magnetization in μB/f.u.: 0.00
Formation energy from raw total energies in eV/atom: 1.8921
N(E_F) in states/eV/f.u.: 2.0

---

# 7
Density functional theory data (PBEsol) for LaCoMo2 after structural relaxation.

Cell: 5.237 9.519 2.864 Å, 90.00 110.59 90.00°
Space group C2/m (No. 12)
Symmetry-distinct sites (fractional):
La (0.000, 0.000, 0.000) (multiplicity 2)
Co (0.000, 0.500, 0.000) (multiplicity 2)
Mo (0.250, 0.250, 0.500) (multiplicity 4)

Output
Spin magnetization in μB/f.u.: 0.89
N(E_F) in states/eV/f.u.: 5.1
Energy of formation in eV/atom: 0.65

---

# 8
Density functional theory data (PBEsol) for BeAgBr2 after structural relaxation.

Cell: 3.196 6.248 9.772 Å, 90.00 90.00 90.00°
Space group Cmmm (No. 65)
Symmetry-distinct sites (fractional):
Be (0.000, 0.000, 0.000) (multiplicity 2)
Ag (0.000, 0.000, 0.500) (multiplicity 2)
Br (0.000, 0.500, 0.161) (multiplicity 4)

Output
Spin magnetization in μB/f.u.: 0.00
Formation energy from raw total energies in eV/atom: -0.0623
N(E_F) in states/eV/f.u.: 0.5

---

# 9
Density functional theory data (PBEsol) for SrPbNO2 after structural relaxation.

Cell: 4.493 4.493 4.683 Å, 90.00 90.00 90.00°
Space group P4/mmm (No. 123)
Symmetry-distinct sites (fractional):
Sr (0.000, 0.000, 0.000) (multiplicity 1)
Pb (0.500, 0.500, 0.500) (multiplicity 1)
N (0.000, 0.000, 0.500) (multiplicity 1)
O (0.000, 0.500, 0.000) (multiplicity 2)

Output
Spin magnetization in μB/f.u.: 3.00
Formation energy from raw total energies in eV/atom: 0.1394
N(E_F) in states/eV/f.u.: 3.0

---

# 10
Density functional theory data (PBEsol) for KLiAs2Se after structural relaxation.

Cell: 4.659 4.659 5.000 Å, 90.00 90.00 90.00°
Space group P4/mmm (No. 123)
Symmetry-distinct sites (fractional):
K (0.000, 0.000, 0.000) (multiplicity 1)
Li (0.500, 0.500, 0.500) (multiplicity 1)
As (0.000, 0.500, 0.500) (multiplicity 2)
Se (0.500, 0.500, 0.000) (multiplicity 1)

Output
Spin magnetization in μB/f.u.: 0.00
Formation energy from raw total energies in eV/atom: 0.0058
N(E_F) in states/eV/f.u.: 2.9

---

# 11
Density functional theory data (PBEsol) for LiCe2HO3 after structural relaxation.

Cell: 3.438 3.675 12.406 Å, 90.00 90.00 90.00°
Space group Immm (No. 71)
Symmetry-distinct sites (fractional):
Li (0.000, 0.000, 0.000) (multiplicity 2)
Ce (0.000, 0.000, 0.362) (multiplicity 4)
H (0.000, 0.500, 0.500) (multiplicity 2)
O (0.000, 0.000, 0.175) (multiplicity 4)
O (0.000, 0.500, 0.000) (multiplicity 2)

Output
Spin magnetization in μB/f.u.: 1.58
N(E_F) in states/eV/f.u.: 8.8

---

# 12
Density functional theory data (PBEsol) for ZnAg2Sb after structural relaxation.

Cell: 3.008 3.008 8.314 Å, 90.00 90.00 90.00°
Space group P4mm (No. 99)
Symmetry-distinct sites (fractional):
Zn (0.000, 0.000, 0.000) (multiplicity 1)
Ag (0.000, 0.000, 0.568) (multiplicity 1)
Ag (0.500, 0.500, 0.802) (multiplicity 1)
Sb (0.500, 0.500, 0.294) (multiplicity 1)

Output
Spin magnetization in μB/f.u.: 0.00
Formation energy from raw total energies in eV/atom: 0.1151
N(E_F) in states/eV/f.u.: 1.4

---

Total energy? In order: -0.453; -0.221; -0.526; -0.147; -0.448; -0.180; -0.625; -0.208; -0.355; -0.252; -0.542; -0.226 Ry per atom.